# 1
The following is a DFT calculation (PBE) of an optimized crystal structure of DyCoSn.

Structure (POSCAR):
```
DyCoSn
1.0
6.9638 0.0000 0.0000
0.0000 4.3874 0.0000
0.0000 0.0000 7.7964
Dy Co Sn
4 4 4
direct
0.0208 0.2500 0.1876
0.4792 0.7500 0.6876
0.5208 0.2500 0.3124
0.9792 0.7500 0.8124
0.2240 0.7500 0.3931
0.2760 0.2500 0.8931
0.7240 0.7500 0.1069
0.7760 0.2500 0.6069
0.1679 0.2500 0.5722
0.3321 0.7500 0.0722
0.6679 0.2500 0.9278
0.8321 0.7500 0.4278
```

## Properties
For the total energy, the calculation gives -17.18 eV per formula unit. Its space group is Pnma, No. 62. Its total magnetization is 0.005 μB/f.u.

# 2
The following is a DFT calculation (PBE) of an optimized crystal structure of LiHfPt2.

Structure (POSCAR):
```
LiHfPt2
1.0
-2.0779 2.0779 3.6728
2.0779 -2.0779 3.6728
2.0779 2.0779 -3.6728
Li Hf Pt
1 1 2
direct
0.0000 0.0000 0.0000
0.5000 0.5000 0.0000
0.2500 0.7500 0.5000
0.7500 0.2500 0.5000
```

## Properties
For the total energy, the calculation gives -27.82 eV per formula unit. Its space group is I4/mmm, No. 139. Its total magnetization is 0.002 μB/f.u.

# 3
The following is a DFT calculation (PBE) of an optimized crystal structure of Nd2PtO4.

Structure (POSCAR):
```
Nd2PtO4
1.0
-2.0137 2.0137 6.1132
2.0137 -2.0137 6.1132
2.0137 2.0137 -6.1132
Nd Pt O
2 1 4
direct
0.1533 0.1533 0.0000
0.8467 0.8467 0.0000
0.5000 0.5000 0.0000
0.0000 0.5000 0.5000
0.2500 0.7500 0.5000
0.5000 0.0000 0.5000
0.7500 0.2500 0.5000
```

## Properties
For the total energy, the calculation gives -52.36 eV per formula unit. Its space group is I4/mmm, No. 139. Its total magnetization is 0.120 μB/f.u.

# 4
The following is a DFT calculation (PBE) of an optimized crystal structure of Mo3AuC2.

Structure (POSCAR):
```
Mo3AuC2
1.0
3.0603 0.0000 0.0000
-1.5301 2.6503 0.0000
0.0000 0.0000 19.1652
Mo Au C
6 2 4
direct
0.0000 0.0000 0.0000
0.0000 0.0000 0.5000
0.3333 0.6667 0.1267
0.3333 0.6667 0.3733
0.6667 0.3333 0.6267
0.6667 0.3333 0.8733
0.0000 0.0000 0.2500
0.0000 0.0000 0.7500
0.3333 0.6667 0.5690
0.3333 0.6667 0.9310
0.6667 0.3333 0.0690
0.6667 0.3333 0.4310
```

## Properties
For the total energy, the calculation gives -53.71 eV per formula unit. Its space group is P6_3/mmc, No. 194. Its total magnetization is 0.021 μB/f.u.

# 5
The following is a DFT calculation (PBE) of an optimized crystal structure of CdFeGeS3.

Structure (POSCAR):
```
CdFeGeS3
1.0
1.8458 -6.1188 0.0000
1.8458 6.1188 0.0000
0.0000 0.0000 10.8287
Cd Fe Ge S
2 2 2 6
direct
0.0000 0.0000 0.0000
0.0000 0.0000 0.5000
0.4695 0.5305 0.7500
0.5305 0.4695 0.2500
0.2126 0.7874 0.2500
0.7874 0.2126 0.7500
0.0872 0.9128 0.7500
0.3570 0.6430 0.5809
0.3570 0.6430 0.9191
0.6430 0.3570 0.0809
0.6430 0.3570 0.4191
0.9128 0.0872 0.2500
```

## Properties
For the total energy, the calculation gives -27.31 eV per formula unit. Its space group is Cmcm, No. 63. Its total magnetization is 3.995 μB/f.u.

# 6
The following is a DFT calculation (PBE) of an optimized crystal structure of Na2TaTeO6.

Structure (POSCAR):
```
Na2TaTeO6
1.0
5.4234 0.0000 0.0000
-2.7117 4.6968 0.0000
0.0000 0.0000 10.3864
Na Ta Te O
4 2 2 12
direct
0.3333 0.6667 0.0489
0.3333 0.6667 0.4511
0.6667 0.3333 0.5489
0.6667 0.3333 0.9511
0.3333 0.6667 0.7500
0.6667 0.3333 0.2500
0.0000 0.0000 0.2500
0.0000 0.0000 0.7500
0.0616 0.3401 0.8603
0.0616 0.7215 0.6397
0.2785 0.3401 0.6397
0.2785 0.9384 0.8603
0.3401 0.0616 0.3603
0.3401 0.2785 0.1397
0.6599 0.7215 0.8603
0.6599 0.9384 0.6397
0.7215 0.0616 0.1397
0.7215 0.6599 0.3603
0.9384 0.2785 0.3603
0.9384 0.6599 0.1397
```

## Properties
For the total energy, the calculation gives -66.16 eV per formula unit. Its space group is P-31c, No. 163. Its total magnetization is 0.002 μB/f.u.